# 1
Entry from Alexandria via LeMat-Bulk: a crystal of RePtN2F relaxed with PBEsol (meta-GGA SCAN).

```
RePtN2F
1.0
3.887 0.000 0.000
0.000 3.887 0.000
0.000 0.000 3.938
Re N Pt F
1 2 1 1
direct
0.000 0.000 0.000
0.000 0.500 0.000
0.500 0.000 0.000
0.500 0.500 0.500
0.000 0.000 0.500
```

Calculated values
uncorrected energy	-160.31	eV/cell
N(E_F)	0.628	states/eV/atom
formation energy from raw total energies	0.62	eV/atom

# 2
Entry from Alexandria via LeMat-Bulk: a crystal of PtS2NF relaxed with PBEsol (meta-GGA SCAN).

```
PtS2NF
1.0
-2.361 -1.664 -2.153
3.272 -2.174 -1.907
-0.419 -3.205 2.935
S N Pt F
2 1 1 1
direct
0.000 0.000 0.500
0.000 0.500 0.000
0.500 0.000 0.000
0.500 0.500 0.500
0.000 0.000 0.000
```

Calculated values
uncorrected energy	-93.33	eV/cell
polymorph energy (0 for the lowest one)	0.988	eV/atom
N(E_F)	0.532	states/eV/atom
formation energy from raw total energies	1.79	eV/atom

# 3
Entry from Alexandria via LeMat-Bulk: a crystal of PtS2NF relaxed with PBEsol (meta-GGA SCAN).

```
PtS2NF
1.0
-2.655 0.668 -2.375
2.568 -2.248 -3.503
-2.119 -4.249 1.173
S N Pt F
2 1 1 1
direct
0.000 0.000 0.500
0.000 0.500 0.000
0.500 0.000 0.000
0.000 0.000 0.000
0.500 0.500 0.500
```

Calculated values
uncorrected energy	-98.27	eV/cell
polymorph energy (0 for the lowest one)	0.000	eV/atom
N(E_F)	0.541	states/eV/atom
formation energy from raw total energies	0.80	eV/atom

# 4
Entry from Alexandria via LeMat-Bulk: a crystal of ScPtNF2 relaxed with PBEsol (meta-GGA SCAN).

```
ScPtNF2
1.0
3.665 0.000 0.000
0.000 4.491 0.000
0.000 0.000 4.491
Sc N Pt F
1 1 1 2
direct
0.500 0.500 0.500
0.500 0.000 0.000
0.000 0.000 0.000
0.000 0.000 0.500
0.000 0.500 0.000
```

Calculated values
uncorrected energy	-103.85	eV/cell
polymorph energy (0 for the lowest one)	0.640	eV/atom
N(E_F)	0.641	states/eV/atom
formation energy from raw total energies	-0.61	eV/atom